CsPtO2 after structural relaxation, computed with GGA-PBE.

Results
The calculation puts the magnetic moment at 0.000 μB/cell. The calculation puts the mass density at 5.2 g cm⁻³. The uncorrected formation energy is -847 meV per atom. The calculation puts the total energy at -20.2 eV per formula unit. As for the space-group type: Cmme (67).

Cell: 6.051 6.051 7.199 Å, 90.00 90.00 118.55°
Element x y z (fractional)
Cs 0.250 0.750 0.819
Cs 0.750 0.250 0.181
Pt 0.250 0.250 0.500
Pt 0.750 0.750 0.500
O 0.003 0.997 0.326
O 0.497 0.503 0.326
O 0.503 0.497 0.674
O 0.997 0.003 0.674